# 1
The following is a DFT calculation (PBE) of a relaxed La6Pr8Mg crystal.

Its final energy is -4.618 eV per atom. For the volume, the calculation gives 1609.1 Å³ per cell. Its calculated formation energy is 0.008 eV per atom.

The structure belongs to space group R-3 (No. 148, hexagonal axes); the cell edges are 6.4286, 6.4286 and 44.9586 Å and the angles 90.00°, 90.00° and 120.00°. Symmetry generates all atoms from La at (0.0002, 0.3294, 0.4341), Pr at (0.0000, 0.0000, 0.1667), Pr at (0.9998, 0.3345, 0.6329) and Mg at (0.0000, 0.0000, 0.5000).


# 2
The following is a DFT calculation (PBE) of a relaxed La3Pr6Mg crystal.

Its final energy is -4.401 eV per atom. The calculation puts the relative energy among the computed polymorphs at 14.9 meV per atom. For the volume, the calculation gives 1435.8 Å³ per cell. Its calculated formation energy is 0.104 eV per atom.

The structure belongs to space group Cmc2_1 (No. 36); the cell edges are 13.505, 16.138 and 6.587 Å and the angles 90.00°, 90.00° and 90.00°. Symmetry generates all atoms from La at (0.000, 0.145, 0.000), La at (0.198, 0.414, 0.341), Pr at (0.000, 0.247, 0.498), Pr at (0.000, 0.451, 0.656), Pr at (0.120, 0.053, 0.503), Pr at (0.216, 0.304, 0.804) and Mg at (0.000, 0.346, 0.067).


# 3
The following is a DFT calculation (PBE) of a relaxed La9Pr2Mg crystal.

Its final energy is -4.626 eV per atom. For the volume, the calculation gives 428.1 Å³ per cell. Its calculated formation energy is -0.001 eV per atom.

The structure belongs to space group P4/mmm (No. 123); the cell edges are 5.216, 5.216 and 15.735 Å and the angles 90.00°, 90.00° and 90.00°. Symmetry generates all atoms from La at (0.000, 0.000, 0.000), La at (0.000, 0.000, 0.331), La at (0.000, 0.500, 0.163), La at (0.000, 0.500, 0.500), Pr at (0.500, 0.500, 0.329) and Mg at (0.500, 0.500, 0.000).


# 4
The following is a DFT calculation (PBE) of a relaxed La9Pr4Mg11 crystal.

Its final energy is -3.443 eV per atom. For the volume, the calculation gives 1503.1 Å³ per cell. Its calculated formation energy is -0.068 eV per atom.

The structure belongs to space group Cmmm (No. 65); the cell edges are 16.422, 23.948 and 3.822 Å and the angles 90.00°, 90.00° and 90.00°. Symmetry generates all atoms from La at (0.000, 0.000, 0.000), La at (0.117, 0.239, 0.000), La at (0.120, 0.413, 0.000), Pr at (0.153, 0.090, 0.000), Mg at (0.000, 0.141, 0.500), Mg at (0.000, 0.329, 0.500), Mg at (0.000, 0.500, 0.500), Mg at (0.235, 0.324, 0.500) and Mg at (0.242, 0.500, 0.500).


# 5
The following is a DFT calculation (PBE) of a relaxed La7Pr2Mg2 crystal.

Its final energy is -4.225 eV per atom. For the volume, the calculation gives 754.7 Å³ per cell. Its calculated formation energy is 0.070 eV per atom.

The structure belongs to space group C2/m (No. 12); the cell edges are 10.927, 11.839 and 6.295 Å and the angles 90.00°, 112.07° and 90.00°. Symmetry generates all atoms from La at (0.000, 0.000, 0.000), La at (0.176, 0.247, 0.168), La at (0.205, 0.000, 0.594), Pr at (0.085, 0.500, 0.797) and Mg at (0.000, 0.238, 0.500).


# 6
The following is a DFT calculation (PBE) of a relaxed La5Pr6Mg2 crystal.

Its final energy is -4.247 eV per atom. For the volume, the calculation gives 921.0 Å³ per cell. Its calculated formation energy is 0.099 eV per atom.

The structure belongs to space group Pbam (No. 55); the cell edges are 10.885, 23.368 and 3.621 Å and the angles 90.00°, 90.00° and 90.00°. Symmetry generates all atoms from La at (0.000, 0.000, 0.000), La at (0.083, 0.252, 0.000), La at (0.172, 0.504, 0.000), Pr at (0.015, 0.387, 0.500), Pr at (0.148, 0.116, 0.500), Pr at (0.169, 0.864, 0.000) and Mg at (0.167, 0.737, 0.500).


# 7
The following is a DFT calculation (PBE) of a relaxed La4PrMg2 crystal.

Its final energy is -3.971 eV per atom. For the volume, the calculation gives 715.3 Å³ per cell. Its calculated formation energy is -0.017 eV per atom.

The structure belongs to space group R-3m (No. 166, hexagonal axes); the cell edges are 5.7132, 5.7132 and 25.3026 Å and the angles 90.00°, 90.00° and 120.00°. Symmetry generates all atoms from La at (0.0000, 0.0000, 0.0742), La at (0.0000, 0.0000, 0.3426), Pr at (0.0000, 0.0000, 0.5000) and Mg at (0.0000, 0.0000, 0.2094).


# 8
The following is a DFT calculation (PBE) of a relaxed La3Pr2Mg crystal.

Its final energy is -4.333 eV per atom. The calculation puts the relative energy among the computed polymorphs at 0.0 meV per atom. For the volume, the calculation gives 412.9 Å³ per cell. Its calculated formation energy is -0.011 eV per atom.

The structure belongs to space group P-3m1 (No. 164); the cell edges are 7.2850, 7.2850 and 8.9834 Å and the angles 90.00°, 90.00° and 120.00°. Symmetry generates all atoms from La at (0.1672, 0.3343, 0.1662), Pr at (0.0000, 0.0000, 0.5000), Pr at (0.0000, 0.5000, 0.5000) and Mg at (0.3333, 0.6667, 0.8308).


# 9
The following is a DFT calculation (PBE) of a relaxed La7Pr3Mg crystal.

Its final energy is -4.438 eV per atom. The calculation puts the relative energy among the computed polymorphs at 0.0 meV per atom. For the volume, the calculation gives 408.1 Å³ per cell. Its calculated formation energy is 0.146 eV per atom.

The structure belongs to space group P3m1 (No. 156); the cell edges are 7.2829, 7.2829 and 8.8842 Å and the angles 90.00°, 90.00° and 120.00°. Symmetry generates all atoms from La at (0.0000, 0.0000, 0.0000), La at (0.9996, 0.4998, 0.0007), La at (0.1649, 0.3298, 0.6689), Pr at (0.3307, 0.1653, 0.3353) and Mg at (0.6667, 0.3333, 0.6714).


# 10
The following is a DFT calculation (PBE) of a relaxed La4Pr6Mg crystal.

Its final energy is -4.318 eV per atom. For the volume, the calculation gives 795.6 Å³ per cell. Its calculated formation energy is 0.226 eV per atom.

The structure belongs to space group I-42m (No. 121); the cell edges are 6.815, 6.815 and 17.130 Å and the angles 90.00°, 90.00° and 90.00°. Symmetry generates all atoms from La at (0.177, 0.177, 0.318), Pr at (0.000, 0.500, 0.000), Pr at (0.161, 0.161, 0.116) and Mg at (0.000, 0.000, 0.500).


Repeat the third record exactly.
The following is a DFT calculation (PBE) of a relaxed La9Pr2Mg crystal.

Its final energy is -4.626 eV per atom. For the volume, the calculation gives 428.1 Å³ per cell. Its calculated formation energy is -0.001 eV per atom.

The structure belongs to space group P4/mmm (No. 123); the cell edges are 5.216, 5.216 and 15.735 Å and the angles 90.00°, 90.00° and 90.00°. Symmetry generates all atoms from La at (0.000, 0.000, 0.000), La at (0.000, 0.000, 0.331), La at (0.000, 0.500, 0.163), La at (0.000, 0.500, 0.500), Pr at (0.500, 0.500, 0.329) and Mg at (0.500, 0.500, 0.000).


Number 5 is which compound? La7Pr2Mg2


What is the calculated formation energy in the fourth record? -0.068 eV per atom